Record 1
# CsNd2MnSe4

A geometry-optimized CsNd2MnSe4 structure (GGA-PBE, Alexandria via LeMat-Bulk).

POSCAR file:
```
CsNd2MnSe4
1.0
4.273 0.000 0.000
-2.136 7.560 0.000
0.000 0.000 14.876
Se Cs Nd Mn
8 2 4 2
Direct
0.740 0.479 0.610
0.000 0.000 0.500
0.420 0.840 0.750
0.000 0.000 0.000
0.260 0.521 0.110
0.740 0.479 0.890
0.580 0.160 0.250
0.260 0.521 0.390
0.897 0.793 0.250
0.103 0.207 0.750
0.369 0.737 0.557
0.631 0.263 0.443
0.631 0.263 0.057
0.369 0.737 0.943
0.171 0.341 0.250
0.829 0.659 0.750
```

Values from the calculation:
- Formation energy without anion corrections: -1125 kJ/mol of formula units

***

Record 2
# Cs3Nd2MnTe6

A geometry-optimized Cs3Nd2MnTe6 structure (GGA-PBE, Alexandria via LeMat-Bulk).

POSCAR file:
```
Cs3Nd2MnTe6
1.0
-3.740 -5.098 -4.654
4.320 -2.822 5.918
-7.290 3.108 4.889
Te Nd Cs Mn
6 2 3 1
Direct
0.943 0.644 0.823
0.356 0.057 0.177
0.057 0.356 0.177
0.644 0.943 0.823
0.259 0.259 0.795
0.741 0.741 0.205
0.338 0.662 0.000
0.662 0.338 0.000
0.500 0.500 0.500
0.823 0.177 0.500
0.177 0.823 0.500
0.000 0.000 0.000
```

Values from the calculation:
- Formation energy without anion corrections: -1215 kJ/mol of formula units

***

Record 3
# Cs4Nd3MnTe8

A geometry-optimized Cs4Nd3MnTe8 structure (GGA-PBE, Alexandria via LeMat-Bulk).

POSCAR file:
```
Cs4Nd3MnTe8
1.0
9.190 -0.001 0.000
-0.001 10.342 0.802
-4.595 -4.589 6.504
Te Nd Mn Cs
8 3 1 4
Direct
0.216 0.684 0.968
0.249 0.316 0.032
0.267 0.302 0.534
0.217 0.684 0.433
0.733 0.698 0.466
0.784 0.316 0.032
0.751 0.684 0.968
0.783 0.316 0.567
0.500 0.500 0.000
0.500 0.500 0.500
0.000 0.500 0.500
0.000 0.500 0.000
0.000 0.000 0.000
0.500 0.000 0.500
0.500 0.000 0.000
0.000 0.000 0.500
```

Values from the calculation:
- Formation energy without anion corrections: -1748 kJ/mol of formula units

***

Record 4
# CsMnNi3

A geometry-optimized CsMnNi3 structure (GGA-PBE, Alexandria via LeMat-Bulk).

POSCAR file:
```
CsMnNi3
1.0
-0.867 4.434 -1.135
-2.992 -1.423 -3.275
-3.464 0.119 3.112
Mn Ni Cs
1 3 1
Direct
0.000 0.000 0.000
0.000 0.000 0.500
0.500 0.000 0.000
0.000 0.500 0.000
0.500 0.500 0.500
```

Values from the calculation:
- Energy relative to the elements: 1.06 eV per atom

***

Record 5
# CsMnNi2

A geometry-optimized CsMnNi2 structure (GGA-PBE, Alexandria via LeMat-Bulk).

POSCAR file:
```
CsMnNi2
1.0
0.000 3.333 3.333
3.333 0.000 3.333
3.333 3.333 0.000
Mn Ni Cs
1 2 1
Direct
0.000 0.000 0.000
0.750 0.750 0.750
0.250 0.250 0.250
0.500 0.500 0.500
```

Values from the calculation:
- Energy relative to the elements: 1.25 eV per atom

***

Record 6
# Cs2MnNiS4

A geometry-optimized Cs2MnNiS4 structure (GGA-PBE, Alexandria via LeMat-Bulk).

POSCAR file:
```
Cs2MnNiS4
1.0
-4.081 -1.728 2.883
0.836 -7.397 1.599
4.026 2.056 11.780
S Cs Ni Mn
8 4 2 2
Direct
0.223 0.173 0.901
0.604 0.173 0.099
0.874 0.673 0.599
0.876 0.827 0.901
0.527 0.327 0.599
0.453 0.673 0.401
0.146 0.327 0.401
0.297 0.827 0.099
0.574 0.500 0.853
0.926 0.500 0.147
0.824 0.000 0.353
0.176 0.000 0.647
0.750 0.500 0.500
0.000 0.000 0.000
0.500 0.000 0.000
0.250 0.500 0.500
```

Values from the calculation:
- Formation energy without anion corrections: -650 kJ/mol of formula units

***

Record 7
# CsScMn2Ni

A geometry-optimized CsScMn2Ni structure (GGA-PBE, Alexandria via LeMat-Bulk).

POSCAR file:
```
CsScMn2Ni
1.0
5.105 0.000 0.000
0.000 5.105 0.000
0.000 0.000 4.770
Mn Sc Cs Ni
2 1 1 1
Direct
0.500 0.000 0.000
0.000 0.500 0.000
0.500 0.500 0.500
0.000 0.000 0.000
0.000 0.000 0.500
```

Values from the calculation:
- Energy relative to the elements: 1.99 eV per atom

***

Record 8
# Cs2MnNiSe4

A geometry-optimized Cs2MnNiSe4 structure (GGA-PBE, Alexandria via LeMat-Bulk).

POSCAR file:
```
Cs2MnNiSe4
1.0
5.677 0.000 0.000
2.838 7.288 0.000
2.838 0.000 12.732
Se Cs Mn Ni
8 4 2 2
Direct
0.533 0.321 0.602
0.456 0.679 0.398
0.294 0.821 0.102
0.217 0.179 0.898
0.865 0.679 0.602
0.146 0.321 0.398
0.604 0.179 0.102
0.885 0.821 0.898
0.822 0.000 0.356
0.572 0.500 0.856
0.928 0.500 0.144
0.178 0.000 0.644
0.250 0.500 0.500
0.500 0.000 0.000
0.000 0.000 0.000
0.750 0.500 0.500
```

Values from the calculation:
- Formation energy without anion corrections: -579 kJ/mol of formula units

***

Record 9
# CsMnNiSe3

A geometry-optimized CsMnNiSe3 structure (GGA-PBE, Alexandria via LeMat-Bulk).

POSCAR file:
```
CsMnNiSe3
1.0
-1.558 0.679 -3.387
-7.941 -3.275 2.997
1.709 9.745 1.166
Ni Cs Mn Se
2 2 2 6
Direct
0.750 0.919 0.399
0.250 0.081 0.601
0.750 0.759 0.734
0.250 0.241 0.266
0.750 0.314 0.843
0.250 0.686 0.157
0.250 0.786 0.436
0.250 0.513 0.868
0.250 0.136 0.856
0.750 0.487 0.132
0.750 0.214 0.564
0.750 0.864 0.144
```

Values from the calculation:
- Formation energy without anion corrections: -352 kJ/mol of formula units

***

Record 10
# CsTa2MnNi

A geometry-optimized CsTa2MnNi structure (GGA-PBE, Alexandria via LeMat-Bulk).

POSCAR file:
```
CsTa2MnNi
1.0
-2.708 3.674 1.179
-1.649 0.601 -5.660
-3.629 -2.915 0.748
Ta Ni Mn Cs
2 1 1 1
Direct
0.000 0.000 0.500
0.500 0.000 0.000
0.000 0.000 0.000
0.500 0.500 0.500
0.000 0.500 0.000
```

Values from the calculation:
- Energy relative to the elements: 1.77 eV per atom

***

D(E_F) (states/eV/cell)
5.717; 1.007; 4.939; 3.419; 1.735; 11.908; 7.073; 10.863; 5.201; 4.821